# AlCoO3 | the Alexandria database | PBE+U | relaxed
# Uncorrected energy ... -6.628 eV per atom
# Spin magnetization ... 1.0 μB per formula unit
# ρ ... 4.5 g/cm³
data_AlCoO3
_chemical_formula_sum 'Al4 Co4 O12'
_cell_length_a 6.331
_cell_length_b 6.331
_cell_length_c 5.022
_cell_angle_alpha 97.42
_cell_angle_beta 97.42
_cell_angle_gamma 84.99
_symmetry_space_group_name_H-M 'P 1'
_symmetry_Int_Tables_number 1
_symmetry_space_group_name_Hall 'P 1'
loop_
_atom_site_label
_atom_site_type_symbol
_atom_site_fract_x
_atom_site_fract_y
_atom_site_fract_z
Al1 Al 0.099 0.284 0.299
Al2 Al 0.284 0.099 0.799
Al3 Al 0.716 0.901 0.201
Al4 Al 0.901 0.716 0.701
Co1 Co 0.233 0.767 0.250
Co2 Co 0.412 0.588 0.750
Co3 Co 0.588 0.412 0.250
Co4 Co 0.767 0.233 0.750
O1 O 0.056 0.219 0.619
O2 O 0.144 0.636 0.894
O3 O 0.219 0.056 0.119
O4 O 0.306 0.472 0.383
O5 O 0.364 0.856 0.606
O6 O 0.472 0.306 0.883
O7 O 0.528 0.694 0.117
O8 O 0.636 0.144 0.394
O9 O 0.694 0.528 0.617
O10 O 0.781 0.944 0.881
O11 O 0.856 0.364 0.106
O12 O 0.944 0.781 0.381